[1]
Computed, not measured: a geometry-optimized NbWS4 structure at the PBE level of DFT. Values from VASP.

Values from the calculation:
- polymorph energy (0 for the lowest one) (meV per atom) = 140
- formation energy from raw total energies (meV per atom) = -622
- space group = P2_1/c, No. 14
- V (Å³ per atom) = 18.609
- DOS(E_F) (states/eV per cell) = 6.8

The structure in Quantum ESPRESSO input format:
```
&SYSTEM
  ibrav = 0, nat = 12, ntyp = 3
/
ATOMIC_SPECIES
Nb 92.91 Nb.upf
W 183.84 W.upf
S 32.06 S.upf
ATOMIC_POSITIONS crystal
Nb 0.000 0.000 0.000
Nb 0.000 0.500 0.500
W 0.500 0.000 0.000
W 0.500 0.500 0.500
S 0.177 0.228 0.345
S 0.177 0.272 0.845
S 0.336 0.728 0.165
S 0.336 0.772 0.665
S 0.664 0.228 0.335
S 0.664 0.272 0.835
S 0.823 0.728 0.155
S 0.823 0.772 0.655
CELL_PARAMETERS angstrom
6.525 0.000 0.000
0.000 5.559 0.000
-3.226 0.000 6.156
```

[2]
Computed, not measured: a geometry-optimized NbWS3 structure at the PBE level of DFT. Values from VASP.

Values from the calculation:
- polymorph energy (0 for the lowest one) (meV per atom) = 0
- formation energy from raw total energies (meV per atom) = 481
- space group = Pm-3m, No. 221
- V (Å³ per atom) = 20.224
- DOS(E_F) (states/eV per cell) = 4.8

The structure in Quantum ESPRESSO input format:
```
&SYSTEM
  ibrav = 0, nat = 5, ntyp = 3
/
ATOMIC_SPECIES
Nb 92.91 Nb.upf
W 183.84 W.upf
S 32.06 S.upf
ATOMIC_POSITIONS crystal
Nb 0.000 0.000 0.000
W 0.500 0.500 0.500
S 0.000 0.500 0.500
S 0.500 0.000 0.500
S 0.500 0.500 0.000
CELL_PARAMETERS angstrom
4.659 0.000 0.000
0.000 4.659 0.000
0.000 0.000 4.659
```

[3]
Computed, not measured: a geometry-optimized NbWS2 structure at the PBE level of DFT. Values from VASP.

Values from the calculation:
- polymorph energy (0 for the lowest one) (meV per atom) = 152
- formation energy from raw total energies (meV per atom) = -124
- space group = I-42d, No. 122
- V (Å³ per atom) = 18.011
- DOS(E_F) (states/eV per cell) = 4.5

The structure in Quantum ESPRESSO input format:
```
&SYSTEM
  ibrav = 0, nat = 8, ntyp = 3
/
ATOMIC_SPECIES
Nb 92.91 Nb.upf
W 183.84 W.upf
S 32.06 S.upf
ATOMIC_POSITIONS crystal
Nb 0.000 0.000 0.000
Nb 0.750 0.250 0.500
W 0.250 0.750 0.500
W 0.500 0.500 0.000
S 0.138 0.625 0.013
S 0.375 0.388 0.513
S 0.612 0.125 0.987
S 0.875 0.862 0.487
CELL_PARAMETERS angstrom
-2.240 2.240 7.181
2.240 -2.240 7.181
2.240 2.240 -7.181
```

[4]
Computed, not measured: a geometry-optimized Nb2WS structure at the PBE level of DFT. Values from VASP.

Values from the calculation:
- formation energy from raw total energies (meV per atom) = 925
- space group = I-42d, No. 122
- V (Å³ per atom) = 23.610
- DOS(E_F) (states/eV per cell) = 16.0

The structure in Quantum ESPRESSO input format:
```
&SYSTEM
  ibrav = 0, nat = 8, ntyp = 3
/
ATOMIC_SPECIES
Nb 92.91 Nb.upf
W 183.84 W.upf
S 32.06 S.upf
ATOMIC_POSITIONS crystal
Nb 0.104 0.625 0.979
Nb 0.375 0.354 0.479
Nb 0.646 0.125 0.021
Nb 0.875 0.896 0.521
W 0.250 0.750 0.500
W 0.500 0.500 0.000
S 0.000 0.000 0.000
S 0.750 0.250 0.500
CELL_PARAMETERS angstrom
-2.865 2.865 5.751
2.865 -2.865 5.751
2.865 2.865 -5.751
```

[5]
Computed, not measured: a geometry-optimized NbWS structure at the PBE level of DFT. Values from VASP.

Values from the calculation:
- polymorph energy (0 for the lowest one) (meV per atom) = 77
- formation energy from raw total energies (meV per atom) = -231
- space group = P1, No. 1
- V (Å³ per atom) = 16.842
- DOS(E_F) (states/eV per cell) = 2.5

The structure in Quantum ESPRESSO input format:
```
&SYSTEM
  ibrav = 0, nat = 6, ntyp = 3
/
ATOMIC_SPECIES
Nb 92.91 Nb.upf
W 183.84 W.upf
S 32.06 S.upf
ATOMIC_POSITIONS crystal
Nb 0.000 0.000 0.000
Nb 0.437 0.880 0.509
W 0.139 0.323 0.187
W 0.613 0.277 0.583
S 0.010 0.498 0.755
S 0.555 0.650 0.216
CELL_PARAMETERS angstrom
3.107 0.000 0.000
0.972 5.709 0.000
0.870 2.299 5.697
```

[6]
Computed, not measured: a geometry-optimized Nb3WS structure at the PBE level of DFT. Values from VASP.

Values from the calculation:
- polymorph energy (0 for the lowest one) (meV per atom) = 0
- formation energy from raw total energies (meV per atom) = 415
- space group = Pm-3m, No. 221
- V (Å³ per atom) = 18.655
- DOS(E_F) (states/eV per cell) = 6.9

The structure in Quantum ESPRESSO input format:
```
&SYSTEM
  ibrav = 0, nat = 5, ntyp = 3
/
ATOMIC_SPECIES
Nb 92.91 Nb.upf
W 183.84 W.upf
S 32.06 S.upf
ATOMIC_POSITIONS crystal
Nb 0.000 0.000 0.500
Nb 0.000 0.500 0.000
Nb 0.500 0.000 0.000
W 0.500 0.500 0.500
S 0.000 0.000 0.000
CELL_PARAMETERS angstrom
4.535 0.000 0.000
0.000 4.535 0.000
0.000 0.000 4.535
```

[7]
Computed, not measured: a geometry-optimized NbWS structure at the PBE level of DFT. Values from VASP.

Values from the calculation:
- polymorph energy (0 for the lowest one) (meV per atom) = 163
- formation energy from raw total energies (meV per atom) = -145
- space group = P-6m2, No. 187
- V (Å³ per atom) = 16.067
- DOS(E_F) (states/eV per cell) = 3.1

The structure in Quantum ESPRESSO input format:
```
&SYSTEM
  ibrav = 0, nat = 6, ntyp = 3
/
ATOMIC_SPECIES
Nb 92.91 Nb.upf
W 183.84 W.upf
S 32.06 S.upf
ATOMIC_POSITIONS crystal
Nb 0.000 0.000 0.189
Nb 0.000 0.000 0.811
W 0.000 0.000 0.500
W 0.667 0.333 0.000
S 0.667 0.333 0.349
S 0.667 0.333 0.651
CELL_PARAMETERS angstrom
3.200 0.000 0.000
-1.600 2.771 0.000
0.000 0.000 10.874
```

[8]
Computed, not measured: a geometry-optimized NbWS structure at the PBE level of DFT. Values from VASP.

Values from the calculation:
- polymorph energy (0 for the lowest one) (meV per atom) = 0
- formation energy from raw total energies (meV per atom) = -308
- space group = Cm, No. 8
- V (Å³ per atom) = 15.984
- DOS(E_F) (states/eV per cell) = 0.9

The structure in Quantum ESPRESSO input format:
```
&SYSTEM
  ibrav = 0, nat = 3, ntyp = 3
/
ATOMIC_SPECIES
Nb 92.91 Nb.upf
W 183.84 W.upf
S 32.06 S.upf
ATOMIC_POSITIONS crystal
Nb 0.000 0.000 0.000
W 0.699 0.699 0.388
S 0.184 0.184 0.685
CELL_PARAMETERS angstrom
2.598 -1.630 0.000
2.598 1.630 0.000
-2.578 0.000 5.661
```

[9]
Computed, not measured: a geometry-optimized NbWS4 structure at the PBE level of DFT. Values from VASP.

Values from the calculation:
- polymorph energy (0 for the lowest one) (meV per atom) = 0
- formation energy from raw total energies (meV per atom) = -762
- space group = C2/m, No. 12
- V (Å³ per atom) = 20.917
- DOS(E_F) (states/eV per cell) = 2.8

The structure in Quantum ESPRESSO input format:
```
&SYSTEM
  ibrav = 0, nat = 6, ntyp = 3
/
ATOMIC_SPECIES
Nb 92.91 Nb.upf
W 183.84 W.upf
S 32.06 S.upf
ATOMIC_POSITIONS crystal
Nb 0.000 0.000 0.000
W 0.500 0.500 0.500
S 0.116 0.116 0.383
S 0.382 0.382 0.129
S 0.618 0.618 0.871
S 0.884 0.884 0.617
CELL_PARAMETERS angstrom
6.769 -1.645 0.000
6.769 1.645 0.000
-0.889 0.000 5.637
```

[10]
Computed, not measured: a geometry-optimized YNbS3 structure at the PBE level of DFT. Values from VASP.

Values from the calculation:
- formation energy from raw total energies (meV per atom) = -909
- space group = Pm-3m, No. 221
- V (Å³ per atom) = 21.691
- DOS(E_F) (states/eV per cell) = 2.8

The structure in Quantum ESPRESSO input format:
```
&SYSTEM
  ibrav = 0, nat = 5, ntyp = 3
/
ATOMIC_SPECIES
Y 88.91 Y.upf
Nb 92.91 Nb.upf
S 32.06 S.upf
ATOMIC_POSITIONS crystal
Y 0.000 0.000 0.000
Nb 0.500 0.500 0.500
S 0.000 0.500 0.500
S 0.500 0.000 0.500
S 0.500 0.500 0.000
CELL_PARAMETERS angstrom
4.769 0.000 0.000
0.000 4.769 0.000
0.000 0.000 4.769
```